(1)
Below is crystalline Tb4SmSc at its relaxed geometry, with properties calculated at the PBE level.

Structure (extended XYZ):
```
6
Lattice="0.5437 -2.7410 5.4308 -0.2816 -6.0889 0.4006 5.9595 0.8047 0.9514" Properties=species:S:1:pos:R:3 pbc="T T T"
Tb 0.0877 -2.9427 1.9432
Tb 6.1339 -5.0825 4.8396
Tb 3.1990 -6.9772 5.3490
Tb 3.0225 -1.0481 1.4338
Sm 3.1108 -4.0126 3.3914
Sc 0.0000 0.0000 0.0000
```

Calculated values
Relative energy among the computed polymorphs, meV per atom: 0
Energy of formation, eV per atom: 0.03
Crystal system: monoclinic
Total moment, μB/cell: 0.0
Space-group type: C2/m, No. 12


(2)
Below is crystalline TbSm10Sc6 at its relaxed geometry, with properties calculated at the PBE level.

Structure (extended XYZ):
```
17
Lattice="-6.2493 -2.1217 -1.1950 2.2407 -8.5482 3.4589 -3.3870 6.7194 5.7822" Properties=species:S:1:pos:R:3 pbc="T T T"
Sm 0.4987 -6.5042 2.2678
Sm -2.7598 -4.5198 3.6358
Sm -6.1005 0.1567 0.6538
Sm -5.9634 -3.0567 5.6417
Sm 0.3648 -3.4590 4.2333
Sm -3.5358 4.4410 3.9334
Sm -4.6357 0.5694 4.4103
Sm -1.5111 1.6302 5.0078
Sm -4.5073 -4.1657 -0.0040
Sm -1.4322 -0.8938 2.4044
Sc -1.2395 -3.7753 0.8550
Sc -2.7802 -1.8648 5.5197
Sc -2.7691 -6.8946 1.4089
Sc -6.3689 2.8714 2.8950
Sc -3.2675 1.7263 1.6922
Sc -4.6154 -2.0857 2.5264
Tb -3.1247 -1.0608 -0.5975
```

Calculated values
Energy of formation, eV per atom: 0.14
Crystal system: trigonal
Total moment, μB/cell: 0.0
Space-group type: P-31m, No. 162


(3)
Below is crystalline Tb2Sm9Sc at its relaxed geometry, with properties calculated at the PBE level.

Structure (extended XYZ):
```
12
Lattice="-0.9301 3.2085 3.8180 -0.9403 -3.9270 3.0711 14.6803 -0.4333 3.9406" Properties=species:S:1:pos:R:3 pbc="T T T"
Tb 4.8594 -0.1434 1.3044
Tb 9.8209 -0.2899 2.6362
Sm 8.8867 -0.6492 6.0810
Sm 6.8700 -2.1802 3.5058
Sm 1.9158 1.5340 2.5481
Sm 11.8293 -2.3265 4.8370
Sm 11.8344 1.2412 5.2105
Sm 3.9231 -0.5026 4.7486
Sm -0.9352 -0.3592 3.4445
Sm 1.9107 -2.0338 2.1746
Sm 6.8751 1.3876 3.8793
Sc 0.0000 0.0000 0.0000
```

Calculated values
Energy of formation, eV per atom: 0.03
Crystal system: tetragonal
Total moment, μB/cell: 0.0
Space-group type: P4/mmm, No. 123


(4)
Below is crystalline Tb8SmSc4 at its relaxed geometry, with properties calculated at the PBE level.

Structure (extended XYZ):
```
13
Lattice="6.2434 -0.0004 -3.3683 -4.0301 5.8381 -0.0005 1.2245 0.8461 9.7400" Properties=species:S:1:pos:R:3 pbc="T T T"
Tb 3.8198 4.9937 3.6937
Tb -2.5855 4.8819 2.6773
Tb 6.0232 1.8018 3.6939
Tb 0.9900 4.9939 5.2204
Tb 2.4478 1.6898 1.1508
Tb 2.6348 1.8193 4.8836
Tb 0.8029 4.8644 1.4876
Tb -0.3821 1.6900 2.6775
Sc 0.0000 0.0000 0.0000
Sc 3.1217 -0.0002 -1.6841
Sc 1.1066 2.9188 -1.6844
Sc -2.0151 2.9190 -0.0002
Sm -1.4028 3.3421 4.8697
```

Calculated values
Energy of formation, eV per atom: 0.24
Crystal system: trigonal
Total moment, μB/cell: 0.0
Space-group type: R-3m, No. 166


Which value of energy of formation does entry 4 give? 0.24 eV per atom